Density functional theory data (GGA-PBE) for crystalline BaLiMgAl at its relaxed geometry.

Output
M_tot (μB per formula unit): 0.0
Fermi-level density of states (states/eV per cell): 2.166
Energy of formation (eV per formula unit): -0.12

abc: 5.308 5.308 5.308
angles: 60.00 60.00 60.00
Sites, in units of the cell vectors:
Li1 0.500 0.500 0.500
Al1 0.750 0.750 0.750
Mg1 0.000 0.000 0.000
Ba1 0.250 0.250 0.250

---

Density functional theory data (GGA-PBE) for crystalline Tl3AuBr at its relaxed geometry.

Output
M_tot (μB per formula unit): 0.0
Formation energy from raw total energies (kJ per mole of atoms): -21.6
Fermi-level density of states (states/eV per cell): 1.428
Excess energy over the best structure of this formula in the dataset (kJ/mol of formula units): 0

abc: 5.617 5.617 5.617
angles: 90.00 90.00 90.00
Sites, in units of the cell vectors:
Br1 0.500 0.500 0.500
Tl1 0.000 0.000 0.500
Tl2 0.000 0.500 0.000
Au1 0.000 0.000 0.000
Tl3 0.500 0.000 0.000